# Ba3CePd2O6 (PBE, optimized geometry)
# Calculated density (Mg/m³): 6.34
# E_form (uncorrected) (eV per atom): -1.911
data_Ba3CePd2O6
_cell_length_a 6.113
_cell_length_b 6.113
_cell_length_c 6.965
_cell_angle_alpha 90.00
_cell_angle_beta 90.00
_cell_angle_gamma 120.00
_space_group_name_H-M_alt 'P 1'
_space_group_IT_number 1
_space_group_name_Hall 'P 1'
loop_
_atom_site_label
_atom_site_type_symbol
_atom_site_fract_x
_atom_site_fract_y
_atom_site_fract_z
_atom_site_occupancy
Ba1 Ba 0.000 0.000 0.000 1
Ba2 Ba 0.333 0.667 0.643 1
Ba3 Ba 0.667 0.333 0.357 1
Ce1 Ce 0.000 0.000 0.500 1
Pd1 Pd 0.333 0.667 0.134 1
Pd2 Pd 0.667 0.333 0.866 1
O1 O 0.167 0.334 0.310 1
O2 O 0.167 0.833 0.310 1
O3 O 0.334 0.167 0.690 1
O4 O 0.666 0.833 0.310 1
O5 O 0.833 0.167 0.690 1
O6 O 0.833 0.666 0.690 1